No. 1
Computed, not measured: a geometry-optimized GdYRh structure at the PBE-GGA level of DFT.

Properties
Size of the total moment = 7.3 μB/f.u.
ΔE to the lowest computed polymorph = 170 meV per atom
Formation energy = -0.38 eV per atom
DFT total energy = -29.03 eV/cell
Crystal system = trigonal

Cell: 4.5614 4.5614 4.1832 Å, 90.00 90.00 120.00°
Last column: nearest neighbours and their distance in Å.
Space group P3m1 (No. 156)
Unique sites:
Gd (0.0000, 0.0000, 0.0000) (multiplicity 1)  3 Rh 2.86
Y (0.6667, 0.3333, 0.4693) (multiplicity 1)  3 Rh 2.86
Rh (0.3333, 0.6667, 0.7357) (multiplicity 1)  3 Gd 2.86, 3 Y 2.86

***

No. 2
Computed, not measured: a geometry-optimized Gd3YRh structure at the PBE-GGA level of DFT.

Properties
Size of the total moment = 22.6 μB/f.u.
Formation energy = -0.20 eV per atom
DFT total energy = -57.07 eV/cell
Crystal system = cubic

Cell: 5.4521 5.4521 5.4521 Å, 90.00 90.00 90.00°
Last column: nearest neighbours and their distance in Å.
Space group Pm-3m (No. 221)
Unique sites:
Gd (0.0000, 0.0000, 0.5000) (multiplicity 3)  2 Rh 2.73
Y (0.5000, 0.5000, 0.5000) (multiplicity 1)  12 Gd 3.86
Rh (0.0000, 0.0000, 0.0000) (multiplicity 1)  6 Gd 2.73

***

No. 3
Computed, not measured: a geometry-optimized GdYRh structure at the PBE-GGA level of DFT.

Properties
Size of the total moment = 7.3 μB/f.u.
ΔE to the lowest computed polymorph = 21 meV per atom
Formation energy = -0.53 eV per atom
DFT total energy = -58.96 eV/cell
Crystal system = tetragonal

Cell: 3.4826 3.4826 12.6786 Å, 90.00 90.00 90.00°
Last column: nearest neighbours and their distance in Å.
Space group I4mm (No. 107)
Unique sites:
Gd (0.0000, 0.0000, 0.0000) (multiplicity 2)  4 Rh 2.98, 1 Y 3.31
Y (0.0000, 0.0000, 0.2608) (multiplicity 2)  4 Rh 2.96, 1 Gd 3.31
Rh (0.0000, 0.0000, 0.6317) (multiplicity 2)  4 Y 2.96, 4 Gd 2.98

***

No. 4
Computed, not measured: a geometry-optimized GdYRh structure at the PBE-GGA level of DFT.

Properties
Size of the total moment = 7.3 μB/f.u.
ΔE to the lowest computed polymorph = 0 meV per atom
Formation energy = -0.55 eV per atom
DFT total energy = -118.17 eV/cell
Crystal system = cubic

Cell: 6.8359 6.8359 6.8359 Å, 90.00 90.00 90.00°
Last column: nearest neighbours and their distance in Å.
Space group F-43m (No. 216)
Unique sites:
Gd (0.0000, 0.0000, 0.0000) (multiplicity 4)  4 Rh 2.96
Y (0.0000, 0.0000, 0.5000) (multiplicity 4)  4 Rh 2.96
Rh (0.2500, 0.2500, 0.2500) (multiplicity 4)  4 Gd 2.96, 4 Y 2.96

***

No. 5
Computed, not measured: a geometry-optimized GdZnRh structure at the PBE-GGA level of DFT.

Properties
Size of the total moment = 7.1 μB/f.u.
Formation energy = -0.60 eV per atom
DFT total energy = -24.49 eV/cell
Crystal system = hexagonal

Cell: 4.3561 4.3561 3.6914 Å, 90.00 90.00 120.00°
Last column: nearest neighbours and their distance in Å.
Space group P-6m2 (No. 187)
Unique sites:
Gd (0.0000, 0.0000, 0.0000) (multiplicity 1)  6 Rh 3.12, 6 Zn 3.12
Zn (0.3333, 0.6667, 0.5000) (multiplicity 1)  3 Rh 2.51
Rh (0.6667, 0.3333, 0.5000) (multiplicity 1)  3 Zn 2.51

***

No. 6
Computed, not measured: a geometry-optimized GdZnRh structure at the PBE-GGA level of DFT.

Properties
Size of the total moment = 7.0 μB/f.u.
Formation energy = -0.71 eV per atom
DFT total energy = -99.34 eV/cell
Crystal system = orthorhombic

Cell: 7.0022 4.0809 8.1493 Å, 90.00 90.00 90.00°
Last column: nearest neighbours and their distance in Å.
Space group Pnma (No. 62)
Unique sites:
Gd (0.0378, 0.2500, 0.1849) (multiplicity 4)  5 Rh 2.94-2.95, 5 Zn 3.14-3.21
Zn (0.1374, 0.2500, 0.5635) (multiplicity 4)  4 Rh 2.65-2.70
Rh (0.2427, 0.7500, 0.3774) (multiplicity 4)  4 Zn 2.65-2.70, 5 Gd 2.94-2.95

***

No. 7
Computed, not measured: a geometry-optimized GdZnRh2 structure at the PBE-GGA level of DFT.

Properties
Size of the total moment = 7.1 μB/f.u.
Formation energy = -0.57 eV per atom
DFT total energy = -32.34 eV/cell
Crystal system = tetragonal

Cell: 3.2952 3.2952 6.3153 Å, 90.00 90.00 90.00°
Last column: nearest neighbours and their distance in Å.
Space group P4/mmm (No. 123)
Unique sites:
Gd (0.0000, 0.0000, 0.0000) (multiplicity 1)  8 Rh 2.92, 2 Zn 3.16
Zn (0.0000, 0.0000, 0.5000) (multiplicity 1)  8 Rh 2.71
Rh (0.5000, 0.5000, 0.2797) (multiplicity 2)  4 Zn 2.71, 1 Rh 2.78, 4 Gd 2.92

***

No. 8
Computed, not measured: a geometry-optimized GdZnRh2 structure at the PBE-GGA level of DFT.

Properties
Size of the total moment = 7.0 μB/f.u.
Formation energy = -0.63 eV per atom
DFT total energy = -32.58 eV/cell
Crystal system = tetragonal

Cell: 4.3215 4.3215 3.6309 Å, 90.00 90.00 90.00°
Last column: nearest neighbours and their distance in Å.
Space group P4/mmm (No. 123)
Unique sites:
Gd (0.0000, 0.0000, 0.0000) (multiplicity 1)  8 Rh 2.82, 4 Zn 3.06
Zn (0.5000, 0.5000, 0.0000) (multiplicity 1)  8 Rh 2.82, 4 Gd 3.06
Rh (0.0000, 0.5000, 0.5000) (multiplicity 2)  4 Gd 2.82, 4 Zn 2.82, 4 Rh 3.06

***

No. 9
Computed, not measured: a geometry-optimized GdZnRh structure at the PBE-GGA level of DFT.

Properties
Size of the total moment = 7.1 μB/f.u.
Formation energy = -0.51 eV per atom
DFT total energy = -48.47 eV/cell
Crystal system = tetragonal

Cell: 3.4175 3.4175 9.8162 Å, 90.00 90.00 90.00°
Last column: nearest neighbours and their distance in Å.
Space group I4mm (No. 107)
Unique sites:
Gd (0.0000, 0.0000, 0.0000) (multiplicity 2)  5 Zn 2.94-3.12, 5 Rh 2.98-3.17
Zn (0.0000, 0.0000, 0.7008) (multiplicity 2)  4 Rh 2.70, 1 Gd 2.94
Rh (0.0000, 0.0000, 0.3224) (multiplicity 2)  4 Zn 2.70, 4 Gd 2.98

***

No. 10
Computed, not measured: a geometry-optimized GdZn2Rh structure at the PBE-GGA level of DFT.

Properties
Size of the total moment = 7.1 μB/f.u.
Formation energy = -0.37 eV per atom
DFT total energy = -101.89 eV/cell
Crystal system = cubic

Cell: 6.5680 6.5680 6.5680 Å, 90.00 90.00 90.00°
Last column: nearest neighbours and their distance in Å.
Space group Fm-3m (No. 225)
Unique sites:
Gd (0.0000, 0.0000, 0.0000) (multiplicity 4)  8 Zn 2.84
Zn (0.2500, 0.2500, 0.2500) (multiplicity 8)  4 Gd 2.84, 4 Rh 2.84
Rh (0.0000, 0.0000, 0.5000) (multiplicity 4)  8 Zn 2.84

***

No. 11
Computed, not measured: a geometry-optimized GdZrZnRh structure at the PBE-GGA level of DFT.

Properties
Size of the total moment = 7.4 μB/f.u.
Formation energy = -0.43 eV per atom
DFT total energy = -131.97 eV/cell
Crystal system = cubic

Cell: 6.8500 6.8500 6.8500 Å, 90.00 90.00 90.00°
Last column: nearest neighbours and their distance in Å.
Space group F-43m (No. 216)
Unique sites:
Gd (0.0000, 0.0000, 0.0000) (multiplicity 4)  4 Rh 2.97, 4 Zn 2.97
Zr (0.0000, 0.0000, 0.5000) (multiplicity 4)  4 Rh 2.97, 4 Zn 2.97
Zn (0.2500, 0.2500, 0.2500) (multiplicity 4)  4 Zr 2.97, 4 Gd 2.97
Rh (0.2500, 0.2500, 0.7500) (multiplicity 4)  4 Zr 2.97, 4 Gd 2.97

***

No. 12
Computed, not measured: a geometry-optimized GdZrRh4 structure at the PBE-GGA level of DFT.

Properties
Size of the total moment = 7.0 μB/f.u.
Formation energy = -0.63 eV per atom
DFT total energy = -223.28 eV/cell
Crystal system = cubic

Cell: 7.4805 7.4805 7.4805 Å, 90.00 90.00 90.00°
Last column: nearest neighbours and their distance in Å.
Space group F-43m (No. 216)
Unique sites:
Gd (0.0000, 0.0000, 0.0000) (multiplicity 4)  12 Rh 3.10, 4 Zr 3.24
Zr (0.2500, 0.2500, 0.7500) (multiplicity 4)  12 Rh 3.10, 4 Gd 3.24
Rh (0.1249, 0.1249, 0.3751) (multiplicity 16)  6 Rh 2.64-2.65